Entry 1:
Material: Li3Ca4Au2
Method: DFT, PBE-GGA
State: optimized geometry

uncorrected energy = -2.647 eV per atom
energy of formation = -391 meV per atom
V = 26.9 A^3/atom

```
data_Li3Ca4Au2
_cell_length_a 16.7814
_cell_length_b 4.4879
_cell_length_c 6.7582
_cell_angle_alpha 90.00
_cell_angle_beta 107.92
_cell_angle_gamma 90.00
_symmetry_space_group_name_H-M 'C 1 2/m 1'
_symmetry_Int_Tables_number 12
loop_
_symmetry_equiv_pos_as_xyz
'x,y,z'
'-x,-y,-z'
'-x,y,-z'
'x,-y,z'
'x+1/2,y+1/2,z'
'-x+1/2,-y+1/2,-z'
'-x+1/2,y+1/2,-z'
'x+1/2,-y+1/2,z'
loop_
_atom_site_label
_atom_site_fract_x
_atom_site_fract_y
_atom_site_fract_z
Li1 0.0000 0.0000 0.0000
Li2 0.1020 0.0000 0.7152
Ca1 0.0693 0.5000 0.3414
Ca2 0.2266 0.0000 0.2035
Au1 0.1122 0.5000 0.9322
```



Entry 2:
Material: AcCu4Ir3O12
Method: DFT, PBE-GGA
State: optimized geometry

uncorrected energy = -6.170 eV per atom
V = 11.2 A^3/atom
energy relative to the elements, uncorrected = -0.841 eV per atom

```
data_AcCu4Ir3O12
_cell_length_a 7.6549
_cell_length_b 7.6549
_cell_length_c 7.6549
_cell_angle_alpha 90.00
_cell_angle_beta 90.00
_cell_angle_gamma 90.00
_symmetry_space_group_name_H-M 'I m -3'
_symmetry_Int_Tables_number 204
_symmetry_space_group_name_Hall '-I 2 2 3'
loop_
_atom_site_label
_atom_site_fract_x
_atom_site_fract_y
_atom_site_fract_z
Ac1 0.0000 0.0000 0.0000
Cu1 0.2500 0.2500 0.2500
Ir1 0.0000 0.0000 0.5000
O1 0.0000 0.3168 0.1713
```



Entry 3:
Material: PmPr2Pd
Method: DFT, PBE-GGA
State: optimized geometry

uncorrected energy = -5.183 eV per atom
energy of formation = -308 meV per atom
V = 30.0 A^3/atom

```
data_PmPr2Pd
_cell_length_a 3.7250
_cell_length_b 3.7250
_cell_length_c 8.6369
_cell_angle_alpha 90.00
_cell_angle_beta 90.00
_cell_angle_gamma 90.00
_symmetry_space_group_name_H-M 'P 4/m m m'
_symmetry_Int_Tables_number 123
_symmetry_space_group_name_Hall '-P 4 2'
loop_
_atom_site_label
_atom_site_fract_x
_atom_site_fract_y
_atom_site_fract_z
Pm1 0.0000 0.0000 0.0000
Pr1 0.5000 0.5000 0.2986
Pd1 0.0000 0.0000 0.5000
```